1.
InSIN2: optimized geometry, PBEsol.

Geometry as POSCAR:
```
InSIN2
1.0
3.903 0.000 0.000
0.000 3.903 0.000
0.000 0.000 6.410
In S I N
1 1 1 2
direct
0.000 0.000 0.000
0.500 0.500 0.500
0.500 0.500 0.000
0.000 0.500 0.500
0.500 0.000 0.500
```

## Properties
- SG = No. 123
- D(E_F) (states/eV/cell) = 2.78

=====

2.
InSIN2: optimized geometry, PBEsol.

Geometry as POSCAR:
```
InSIN2
1.0
4.006 0.000 0.000
0.000 4.006 0.000
0.000 0.000 5.329
In S I N
1 1 1 2
direct
0.000 0.000 0.000
0.500 0.500 0.000
0.500 0.500 0.500
0.000 0.500 0.500
0.500 0.000 0.500
```

## Properties
- SG = No. 123
- D(E_F) (states/eV/cell) = 2.46

=====

Name the least stable of them. 1.

=====

1.
In3NiI: optimized geometry, PBEsol.

Geometry as POSCAR:
```
In3NiI
1.0
5.025 0.000 0.000
0.000 5.025 0.000
0.000 0.000 5.025
In Ni I
3 1 1
direct
0.000 0.000 0.500
0.000 0.500 0.000
0.500 0.000 0.000
0.000 0.000 0.000
0.500 0.500 0.500
```

## Properties
- SG = No. 221
- D(E_F) (states/eV/cell) = 0.56

=====

2.
In3NiI: optimized geometry, PBEsol.

Geometry as POSCAR:
```
In3NiI
1.0
6.121 0.000 0.000
0.000 6.121 0.000
0.000 0.000 6.121
In Ni I
3 1 1
direct
0.000 0.000 0.500
0.000 0.500 0.000
0.500 0.000 0.000
0.500 0.500 0.500
0.000 0.000 0.000
```

## Properties
- SG = No. 221
- D(E_F) (states/eV/cell) = 9.19

=====

Name the least stable of them. 2.